Version i
P4N3Cl11: optimized geometry, GGA-PBE.

Unit cell a=15.325 b=11.824 c=14.924 alpha=90.00 beta=114.61 gamma=90.00
Atoms (fractional coordinates):
P 0.110 0.198 0.120
P 0.110 0.802 0.620
P 0.197 0.398 0.071
P 0.197 0.602 0.571
P 0.344 0.373 0.994
P 0.344 0.627 0.494
P 0.374 0.197 0.871
P 0.374 0.803 0.371
P 0.626 0.197 0.629
P 0.626 0.803 0.129
P 0.656 0.373 0.506
P 0.656 0.627 0.006
P 0.803 0.398 0.429
P 0.803 0.602 0.929
P 0.890 0.198 0.380
P 0.890 0.802 0.880
N 0.119 0.318 0.081
N 0.119 0.682 0.581
N 0.253 0.344 0.014
N 0.253 0.656 0.514
N 0.347 0.314 0.900
N 0.347 0.686 0.400
N 0.653 0.314 0.600
N 0.653 0.686 0.100
N 0.747 0.344 0.486
N 0.747 0.656 0.986
N 0.881 0.318 0.419
N 0.881 0.682 0.919
Cl 0.030 0.165 0.424
Cl 0.030 0.835 0.924
Cl 0.128 0.461 0.505
Cl 0.128 0.539 0.005
Cl 0.166 0.071 0.072
Cl 0.166 0.929 0.572
Cl 0.170 0.185 0.268
Cl 0.170 0.815 0.768
Cl 0.253 0.141 0.498
Cl 0.253 0.859 0.998
Cl 0.288 0.454 0.207
Cl 0.288 0.546 0.707
Cl 0.322 0.185 0.725
Cl 0.322 0.815 0.225
Cl 0.325 0.063 0.919
Cl 0.325 0.937 0.419
Cl 0.356 0.459 0.478
Cl 0.356 0.541 0.978
Cl 0.465 0.336 0.116
Cl 0.465 0.664 0.616
Cl 0.483 0.174 0.579
Cl 0.483 0.826 0.079
Cl 0.517 0.174 0.921
Cl 0.517 0.826 0.421
Cl 0.535 0.336 0.384
Cl 0.535 0.664 0.884
Cl 0.644 0.459 0.022
Cl 0.644 0.541 0.522
Cl 0.675 0.063 0.581
Cl 0.675 0.937 0.081
Cl 0.678 0.185 0.775
Cl 0.678 0.815 0.275
Cl 0.712 0.454 0.293
Cl 0.712 0.546 0.793
Cl 0.747 0.141 0.002
Cl 0.747 0.859 0.502
Cl 0.830 0.185 0.232
Cl 0.830 0.815 0.732
Cl 0.834 0.071 0.428
Cl 0.834 0.929 0.928
Cl 0.872 0.461 0.995
Cl 0.872 0.539 0.495
Cl 0.970 0.165 0.076
Cl 0.970 0.835 0.576

## Properties
Space-group type = No. 13


Version ii
P4N3Cl11: optimized geometry, GGA-PBE.

Unit cell a=8.132 b=8.132 c=8.132 alpha=84.34 beta=84.34 gamma=84.34
Atoms (fractional coordinates):
P 0.000 0.000 0.000
P 0.293 0.880 0.788
P 0.788 0.293 0.880
P 0.880 0.788 0.293
N 0.126 0.874 0.899
N 0.874 0.899 0.126
N 0.899 0.126 0.874
Cl 0.082 0.628 0.318
Cl 0.133 0.133 0.133
Cl 0.318 0.082 0.628
Cl 0.330 0.685 0.654
Cl 0.407 0.407 0.407
Cl 0.492 0.865 0.920
Cl 0.628 0.318 0.082
Cl 0.654 0.330 0.685
Cl 0.685 0.654 0.330
Cl 0.865 0.920 0.492
Cl 0.920 0.492 0.865

## Properties
Space-group type = No. 146


Least stable = version ii


Version i
PRuNCl2: optimized geometry, GGA-PBE.

Unit cell a=4.927 b=4.927 c=4.450 alpha=90.00 beta=90.00 gamma=90.00
Atoms (fractional coordinates):
P 0.000 0.000 0.000
Ru 0.000 0.000 0.500
N 0.500 0.500 0.000
Cl 0.000 0.500 0.500
Cl 0.500 0.000 0.500

## Properties
Space-group type = No. 123


Version ii
PRuNCl2: optimized geometry, GGA-PBE.

Unit cell a=5.568 b=5.568 c=3.207 alpha=90.00 beta=90.00 gamma=90.00
Atoms (fractional coordinates):
P 0.000 0.000 0.000
Ru 0.500 0.500 0.000
N 0.000 0.000 0.500
Cl 0.000 0.500 0.500
Cl 0.500 0.000 0.500

## Properties
Space-group type = No. 123


Least stable = version i


Version i
PSNCl2: optimized geometry, GGA-PBE.

Unit cell a=4.854 b=4.854 c=4.511 alpha=90.00 beta=90.00 gamma=90.00
Atoms (fractional coordinates):
P 0.000 0.000 0.000
S 0.000 0.000 0.500
N 0.500 0.500 0.500
Cl 0.000 0.500 0.000
Cl 0.500 0.000 0.000

## Properties
Space-group type = No. 123


Version ii
PSNCl2: optimized geometry, GGA-PBE.

Unit cell a=4.747 b=4.747 c=5.038 alpha=90.00 beta=90.00 gamma=90.00
Atoms (fractional coordinates):
P 0.000 0.000 0.000
S 0.000 0.000 0.500
N 0.500 0.500 0.000
Cl 0.000 0.500 0.500
Cl 0.500 0.000 0.500

## Properties
Space-group type = No. 123


Version iii
PSNCl2: optimized geometry, GGA-PBE.

Unit cell a=4.209 b=4.209 c=4.538 alpha=90.00 beta=90.00 gamma=90.00
Atoms (fractional coordinates):
P 0.000 0.000 0.000
S 0.500 0.500 0.000
N 0.000 0.000 0.500
Cl 0.000 0.500 0.500
Cl 0.500 0.000 0.500

## Properties
Space-group type = No. 123


Version iv
PSNCl2: optimized geometry, GGA-PBE.

Unit cell a=4.187 b=4.187 c=4.566 alpha=90.00 beta=90.00 gamma=90.00
Atoms (fractional coordinates):
P 0.000 0.000 0.000
S 0.500 0.500 0.000
N 0.500 0.500 0.500
Cl 0.000 0.500 0.500
Cl 0.500 0.000 0.500

## Properties
Space-group type = No. 123


Least stable = version ii